[1]
## KCaNi2 (PBE-GGA)

Data for a relaxed structure of KCaNi2.

- ΔH_f (0 K): 0.317 eV per atom
- Density of states at the Fermi level: 4.88 states/eV/cell
- Crystal system: orthorhombic
- Total magnetization: 0.2 Bohr magnetons per cell
- Energy above the lowest structure with this stoichiometry: 0.78 eV per formula unit

abc: 7.4174 7.4174 7.4174
angles: 148.52 146.19 46.87
Last column: nearest neighbours and their distance in Å.
Fractional coordinates of all 4 atoms:
Ca 0.4817 0.4817 0.0000  6 Ni 2.74-3.04
K 0.2335 0.7335 0.5000  6 Ni 3.40
Ni 0.9269 0.9269 0.0000  2 Ni 2.22
Ni 0.8579 0.3579 0.5000  2 Ni 2.22

[2]
## Dy3Mg2Au3 (PBE-GGA)

Data for a relaxed structure of Dy3Mg2Au3.

- ΔH_f (0 K): -0.620 eV per atom
- Density of states at the Fermi level: 3.37 states/eV/cell
- Crystal system: orthorhombic
- Total magnetization: 0.0 Bohr magnetons per cell
- Energy above the lowest structure with this stoichiometry: 0.75 eV per formula unit

abc: 3.5224 5.1330 10.7530
angles: 103.81 99.43 90.00
Last column: nearest neighbours and their distance in Å.
Fractional coordinates of all 8 atoms:
Dy 0.6225 0.6225 0.2450  6 Au 3.08-3.11, 4 Mg 3.44
Dy 0.3775 0.3775 0.7550  6 Au 3.08-3.11, 4 Mg 3.44
Dy 0.5000 0.0000 0.0000  8 Au 3.11-3.13
Mg 0.7338 0.2338 0.4677  2 Au 2.84
Mg 0.2662 0.7662 0.5323  2 Au 2.84
Au 0.1259 0.1259 0.2518  2 Mg 2.84, 6 Dy 3.11-3.13
Au 0.0000 0.5000 0.0000  8 Dy 3.08-3.11
Au 0.8741 0.8741 0.7482  2 Mg 2.84, 6 Dy 3.11-3.13

[3]
## Sr2CuAg3Sb4 (PBE-GGA)

Data for a relaxed structure of Sr2CuAg3Sb4.

- Density of states at the Fermi level: 3.74 states/eV/cell
- Energy: -3.6602 eV per atom
- Crystal system: tetragonal
- Total magnetization: 0.0 Bohr magnetons per cell

abc: 4.6672 4.6672 11.9321
angles: 90.00 90.00 90.00
Last column: nearest neighbours and their distance in Å.
Fractional coordinates of all 10 atoms:
Sr 0.5000 0.0000 0.2696  4 Sb 3.52, 2 Cu 3.61, 6 Ag 3.61-3.62
Sr 0.0000 0.5000 0.7304  4 Sb 3.52, 2 Cu 3.61, 6 Ag 3.61-3.62
Cu 0.5000 0.5000 0.5000  4 Sb 2.78
Ag 0.0000 0.0000 0.5000  4 Sb 2.78
Ag 0.5000 0.0000 0.8547  5 Sb 2.71-2.91
Ag 0.0000 0.5000 0.1453  5 Sb 2.71-2.91
Sb 0.5000 0.5000 0.0000  4 Ag 2.91
Sb 0.0000 0.0000 0.0000  4 Ag 2.91
Sb 0.5000 0.0000 0.6274  3 Ag 2.71-2.78, 2 Cu 2.78
Sb 0.0000 0.5000 0.3726  3 Ag 2.71-2.78, 2 Cu 2.78